(1)
CaThCdPt: relaxed, GGA-PBE.

Calculated values
For the formation energy, the calculation gives -0.54 eV per atom. The calculation puts the density at 9.637 g cm⁻³. Its spin magnetization is 0.00 μB/f.u.

abc: 5.2077 5.2077 5.2077
angles: 60.00 60.00 60.00
Fractional positions:
Ca1 0.5000 0.5000 0.5000
Pt1 0.7500 0.7500 0.7500
Th1 0.0000 0.0000 0.0000
Cd1 0.2500 0.2500 0.2500

(2)
Al2ZnIr: relaxed, GGA-PBE.

Calculated values
For the formation energy, the calculation gives -0.48 eV per atom. The calculation puts the density at 9.007 g cm⁻³. Its spin magnetization is 0.00 μB/f.u.

abc: 4.6178 4.6178 4.6178
angles: 129.31 129.32 74.51
Fractional positions:
Zn1 0.2500 0.7500 0.5000
Ir1 0.7500 0.2500 0.5000
Al1 0.0001 0.0001 0.0000
Al2 0.4999 0.4999 0.0000

(3)
La2NpCrN5: relaxed, GGA-PBE.

Calculated values
The calculation puts the density at 8.081 g cm⁻³. Its spin magnetization is 1.37 μB/f.u. The calculation puts the energy relative to the elements, uncorrected at -1.08 eV per atom.

abc: 3.5065 7.2845 10.5570
angles: 90.00 90.00 103.93
Last column: magnetic moment on the atom in μB.
Fractional positions:
La1 0.8611 0.7222 0.8285  0.01
La2 0.1122 0.2244 0.6813  0.00
La3 0.1389 0.2778 0.3285  0.01
La4 0.8878 0.7756 0.1813  0.00
Np1 0.8066 0.6131 0.5240  1.81
Np2 0.1934 0.3869 0.0240  1.81
Cr1 0.5387 0.0774 0.9404  -0.26
Cr2 0.4613 0.9226 0.4404  -0.26
N1 0.3394 0.6788 0.0072  -0.06
N2 0.6735 0.3469 0.8901  -0.06
N3 0.4939 0.9878 0.7887  0.00
N4 0.2919 0.5839 0.6570  -0.08
N5 0.9703 0.9406 0.5067  0.00
N6 0.6606 0.3212 0.5072  -0.06
N7 0.3265 0.6531 0.3901  -0.06
N8 0.5061 0.0122 0.2887  0.00
N9 0.7081 0.4161 0.1570  -0.08
N10 0.0297 0.0594 0.0067  0.00

(4)
Mo2IrRh: relaxed, GGA-PBE.

Calculated values
For the formation energy, the calculation gives -0.13 eV per atom. The calculation puts the density at 13.447 g cm⁻³. Its spin magnetization is 0.00 μB/f.u.

abc: 4.7871 4.7871 4.7871
angles: 131.57 131.57 70.91
Fractional positions:
Ir1 0.2500 0.7500 0.5000
Mo1 0.0000 0.0000 0.0000
Mo2 0.7500 0.2500 0.5000
Rh1 0.5000 0.5000 0.0000

(5)
Er8GeS5: relaxed, GGA-PBE.

Calculated values
The calculation puts the density at 8.209 g cm⁻³. Its spin magnetization is 0.00 μB/f.u. The calculation puts the energy relative to the elements, uncorrected at -1.44 eV per atom.

abc: 7.5350 7.5350 7.5350
angles: 103.71 103.71 121.74
Fractional positions:
Er1 0.0642 0.8136 0.1637
Er2 0.1864 0.3501 0.2506
Er3 0.6425 0.8968 0.3377
Er4 0.1032 0.4408 0.7457
Er5 0.6951 0.3575 0.2543
Er6 0.0995 0.9358 0.7494
Er7 0.6499 0.9005 0.8363
Er8 0.5592 0.3049 0.6623
Ge1 0.2500 0.7500 0.5000
S1 0.8755 0.3573 0.9790
S2 0.6427 0.6217 0.5182
S3 0.3783 0.8965 0.0210
S4 0.5000 0.5000 0.0000
S5 0.1035 0.1245 0.4818

(6)
ZnNiSb3: relaxed, GGA-PBE.

Calculated values
The calculation puts the density at 6.451 g cm⁻³. Its spin magnetization is 0.00 μB/f.u. The calculation puts the energy relative to the elements, uncorrected at 0.39 eV per atom.

abc: 5.0128 5.0128 5.0128
angles: 90.00 90.00 90.00
Fractional positions:
Sb1 0.0000 0.5000 0.0000
Sb2 0.0000 0.0000 0.5000
Sb3 0.5000 0.0000 0.0000
Zn1 0.5000 0.5000 0.5000
Ni1 0.0000 0.0000 0.0000

(7)
Sr3Sn2Bi3: relaxed, GGA-PBE.

Calculated values
For the formation energy, the calculation gives -0.53 eV per atom. The calculation puts the density at 6.568 g cm⁻³. Its spin magnetization is 0.00 μB/f.u.

abc: 4.7493 6.8680 18.6226
angles: 90.00 90.00 110.23
Fractional positions:
Sr1 0.9258 0.8515 0.3895
Sr2 0.0742 0.1485 0.8895
Sr3 0.9258 0.8515 0.1105
Sr4 0.0742 0.1485 0.6105
Sr5 0.6476 0.2951 0.2500
Sr6 0.3524 0.7049 0.7500
Sn1 0.7844 0.5689 0.8812
Sn2 0.2156 0.4311 0.3812
Sn3 0.7844 0.5689 0.6188
Sn4 0.2156 0.4311 0.1188
Bi1 0.6121 0.2242 0.4605
Bi2 0.3879 0.7758 0.9605
Bi3 0.6121 0.2242 0.0395
Bi4 0.3879 0.7758 0.5395
Bi5 0.3761 0.7521 0.2500
Bi6 0.6239 0.2479 0.7500

(8)
InAgP2S6: relaxed, GGA-PBE.

Calculated values
The calculation puts the density at 3.260 g cm⁻³. Its spin magnetization is 0.00 μB/f.u. The calculation puts the energy relative to the elements, uncorrected at -0.32 eV per atom.

abc: 6.2512 6.2512 14.3607
angles: 90.00 90.00 120.00
Fractional positions:
In1 0.0000 0.0000 0.2500
In2 0.0000 0.0000 0.7500
Ag1 0.6667 0.3333 0.2500
Ag2 0.3333 0.6667 0.7500
P1 0.6667 0.3333 0.6714
P2 0.6667 0.3333 0.8286
P3 0.3333 0.6667 0.3286
P4 0.3333 0.6667 0.1714
S1 0.9716 0.3171 0.8686
S2 0.3455 0.3171 0.6314
S3 0.9716 0.6545 0.6314
S4 0.6829 0.0284 0.6314
S5 0.3171 0.3455 0.1314
S6 0.6545 0.9716 0.1314
S7 0.0284 0.6829 0.1314
S8 0.6545 0.6829 0.3686
S9 0.0284 0.3455 0.3686
S10 0.3171 0.9716 0.3686
S11 0.6829 0.6545 0.8686
S12 0.3455 0.0284 0.8686

- What is the spin magnetization in the sixth record?
  0.00 μB/f.u.

- Among the records above, which one has the highest spin magnetization?
  La2NpCrN5